Record 1
Material: Mg3In
Method: DFT, PBE
State: relaxed

It has space group Pm-3n (No. 223), with a = 5.6783 Å, b = 5.6783 Å, c = 5.6783 Å, α = 90.00°, β = 90.00° and γ = 90.00°. The distinct sites, in fractional coordinates, are Mg at (0.0000, 0.2500, 0.5000) and In at (0.0000, 0.0000, 0.0000).

For the density of states at the Fermi level, the calculation gives 2.8 states/eV/cell. The value obtained for the energy of formation is -0.056 eV/atom.



Record 2
Material: Mg3In
Method: DFT, PBE
State: relaxed

It has space group P4/mmm (No. 123), with a = 3.6419 Å, b = 3.6419 Å, c = 6.9917 Å, α = 90.00°, β = 90.00° and γ = 90.00°. The distinct sites, in fractional coordinates, are Mg at (0.0000, 0.0000, 0.0000), Mg at (0.5000, 0.5000, 0.2473) and In at (0.0000, 0.0000, 0.5000).

For the density of states at the Fermi level, the calculation gives 1.1 states/eV/cell. The value obtained for the energy of formation is -0.037 eV/atom.



Record 3
Material: MgIn4
Method: DFT, PBE
State: relaxed

It has space group I4/m (No. 87), with a = 7.6194 Å, b = 7.6194 Å, c = 4.4118 Å, α = 90.00°, β = 90.00° and γ = 90.00°. The distinct sites, in fractional coordinates, are Mg at (0.0000, 0.0000, 0.0000) and In at (0.0991, 0.7033, 0.5000).

For the density of states at the Fermi level, the calculation gives 3.8 states/eV/cell. The value obtained for the energy of formation is -0.018 eV/atom.



Record 4
Material: Mg3In2
Method: DFT, PBE
State: relaxed

It has space group R-3m (No. 166, hexagonal axes), with a = 3.3355 Å, b = 3.3355 Å, c = 36.9431 Å, α = 90.00°, β = 90.00° and γ = 120.00°. The distinct sites, in fractional coordinates, are Mg at (0.0000, 0.0000, 0.0000), Mg at (0.0000, 0.0000, 0.2013) and In at (0.0000, 0.0000, 0.3992).

For the density of states at the Fermi level, the calculation gives 7.5 states/eV/cell. The value obtained for the energy of formation is -0.072 eV/atom. The calculation puts the offset from the most stable computed form at 0.0 meV per atom.



Record 5
Material: MgIn
Method: DFT, PBE
State: relaxed

It has space group Cmcm (No. 63), with a = 3.2535 Å, b = 12.0154 Å, c = 4.9014 Å, α = 90.00°, β = 90.00° and γ = 90.00°. The distinct sites, in fractional coordinates, are Mg at (0.0000, 0.1690, 0.2500) and In at (0.0000, 0.4206, 0.2500).

For the density of states at the Fermi level, the calculation gives 2.0 states/eV/cell. The value obtained for the energy of formation is -0.063 eV/atom.



Record 6
Material: MgIn
Method: DFT, PBE
State: relaxed

It has space group R-3m (No. 166, hexagonal axes), with a = 3.3800 Å, b = 3.3800 Å, c = 29.7171 Å, α = 90.00°, β = 90.00° and γ = 120.00°. The distinct sites, in fractional coordinates, are Mg at (0.0000, 0.0000, 0.1249) and In at (0.0000, 0.0000, 0.3771).

For the density of states at the Fermi level, the calculation gives 2.4 states/eV/cell. The value obtained for the energy of formation is -0.041 eV/atom.



Record 7
Material: Mg3In4
Method: DFT, PBE
State: relaxed

It has space group P6/mmm (No. 191), with a = 5.8724 Å, b = 5.8724 Å, c = 5.8451 Å, α = 90.00°, β = 90.00° and γ = 120.00°. The distinct sites, in fractional coordinates, are Mg at (0.0000, 0.5000, 0.0000), In at (0.0000, 0.0000, 0.2537) and In at (0.3333, 0.6667, 0.5000).

For the density of states at the Fermi level, the calculation gives 3.3 states/eV/cell. The value obtained for the energy of formation is -0.003 eV/atom. The calculation puts the offset from the most stable computed form at 25.8 meV per atom.



Record 8
Material: MgIn
Method: DFT, PBE
State: relaxed

It has space group I4/m (No. 87), with a = 11.1552 Å, b = 11.1552 Å, c = 3.2606 Å, α = 90.00°, β = 90.00° and γ = 90.00°. The distinct sites, in fractional coordinates, are Mg at (0.1008, 0.6384, 0.0000) and In at (0.0952, 0.1694, 0.0000).

For the density of states at the Fermi level, the calculation gives 7.1 states/eV/cell. The value obtained for the energy of formation is 0.012 eV/atom.



Record 9
Material: MgIn
Method: DFT, PBE
State: relaxed

It has space group Fd-3m (No. 227, origin choice 2), with a = 7.3190 Å, b = 7.3190 Å, c = 7.3190 Å, α = 90.00°, β = 90.00° and γ = 90.00°. The distinct sites, in fractional coordinates, are Mg at (0.1250, 0.1250, 0.1250) and In at (0.1250, 0.1250, 0.6250).

For the density of states at the Fermi level, the calculation gives 4.6 states/eV/cell. The value obtained for the energy of formation is 0.009 eV/atom.



Record 10
Material: Mg6In5
Method: DFT, PBE
State: relaxed

It has space group C2/m (No. 12), with a = 4.6289 Å, b = 13.7776 Å, c = 8.4912 Å, α = 90.00°, β = 91.13° and γ = 90.00°. The distinct sites, in fractional coordinates, are Mg at (0.0009, 0.1645, 0.2567), Mg at (0.0038, 0.5000, 0.2606), In at (0.0000, 0.0000, 0.0000), In at (0.0000, 0.3315, 0.0000) and In at (0.0000, 0.3360, 0.5000).

For the density of states at the Fermi level, the calculation gives 10.6 states/eV/cell. The value obtained for the energy of formation is -0.039 eV/atom.



Record 11
Material: Mg3In7
Method: DFT, PBE
State: relaxed

It has space group C2/m (No. 12), with a = 17.0328 Å, b = 4.6862 Å, c = 6.3375 Å, α = 90.00°, β = 99.85° and γ = 90.00°. The distinct sites, in fractional coordinates, are Mg at (0.0000, 0.0000, 0.0000), Mg at (0.1977, 0.0000, 0.6070), In at (0.0000, 0.0000, 0.5000), In at (0.0966, 0.5000, 0.8071), In at (0.1058, 0.5000, 0.3090) and In at (0.2054, 0.0000, 0.1145).

For the density of states at the Fermi level, the calculation gives 10.1 states/eV/cell. The value obtained for the energy of formation is -0.037 eV/atom. The calculation puts the offset from the most stable computed form at 0.0 meV per atom.



Record 12
Material: MgIn
Method: DFT, PBE
State: relaxed

It has space group Amm2 (No. 38), with a = 3.2370 Å, b = 12.9333 Å, c = 7.4607 Å, α = 90.00°, β = 90.00° and γ = 90.00°. The distinct sites, in fractional coordinates, are Mg at (0.0000, 0.0000, 0.0000), Mg at (0.5000, 0.1154, 0.6920), In at (0.0000, 0.0000, 0.3871) and In at (0.0000, 0.2445, 0.9532).

For the density of states at the Fermi level, the calculation gives 4.1 states/eV/cell. The value obtained for the energy of formation is 0.022 eV/atom.



Record 13
Material: Mg3In
Method: DFT, PBE
State: relaxed

It has space group P4/mmm (No. 123), with a = 4.4593 Å, b = 4.4593 Å, c = 4.5806 Å, α = 90.00°, β = 90.00° and γ = 90.00°. The distinct sites, in fractional coordinates, are Mg at (0.0000, 0.0000, 0.0000), Mg at (0.0000, 0.5000, 0.5000) and In at (0.5000, 0.5000, 0.0000).

For the density of states at the Fermi level, the calculation gives 1.1 states/eV/cell. The value obtained for the energy of formation is -0.085 eV/atom.



Record 14
Material: Mg3In
Method: DFT, PBE
State: relaxed

It has space group Cmcm (No. 63), with a = 6.4141 Å, b = 11.1318 Å, c = 5.1754 Å, α = 90.00°, β = 90.00° and γ = 90.00°. The distinct sites, in fractional coordinates, are Mg at (0.0000, 0.0849, 0.2500), Mg at (0.2496, 0.1620, 0.7500) and In at (0.0000, 0.4051, 0.7500).

For the density of states at the Fermi level, the calculation gives 6.9 states/eV/cell. The value obtained for the energy of formation is -0.046 eV/atom.



Record 15
Material: Mg3In2
Method: DFT, PBE
State: relaxed

It has space group R-3c (No. 167, hexagonal axes), with a = 8.3375 Å, b = 8.3375 Å, c = 12.5438 Å, α = 90.00°, β = 90.00° and γ = 120.00°. The distinct sites, in fractional coordinates, are Mg at (0.0000, 0.3063, 0.2500) and In at (0.0000, 0.0000, 0.1201).

For the density of states at the Fermi level, the calculation gives 12.3 states/eV/cell. The value obtained for the energy of formation is 0.004 eV/atom. The calculation puts the offset from the most stable computed form at 75.8 meV per atom.



Record 16
Material: MgIn5
Method: DFT, PBE
State: relaxed

It has space group Cm (No. 8), with a = 12.1071 Å, b = 3.4417 Å, c = 7.8539 Å, α = 90.00°, β = 107.13° and γ = 90.00°. The distinct sites, in fractional coordinates, are Mg at (0.0000, 0.0000, 0.0000), In at (0.1068, 0.5000, 0.7431), In at (0.1669, 0.5000, 0.3181), In at (0.2907, 0.0000, 0.0624), In at (0.3209, 0.0000, 0.6635) and In at (0.4525, 0.5000, 0.4007).

For the density of states at the Fermi level, the calculation gives 4.4 states/eV/cell. The value obtained for the energy of formation is -0.008 eV/atom.



Record 17
Material: MgIn8
Method: DFT, PBE
State: relaxed

It has space group I4/mmm (No. 139), with a = 11.4215 Å, b = 11.4215 Å, c = 3.6842 Å, α = 90.00°, β = 90.00° and γ = 90.00°. The distinct sites, in fractional coordinates, are Mg at (0.0000, 0.0000, 0.0000), In at (0.0000, 0.3312, 0.0000) and In at (0.1646, 0.1646, 0.5000).

For the density of states at the Fermi level, the calculation gives 7.7 states/eV/cell. The value obtained for the energy of formation is 0.014 eV/atom. The calculation puts the offset from the most stable computed form at 18.8 meV per atom.



Record 18
Material: Mg3In
Method: DFT, PBE
State: relaxed

It has space group Pm-3m (No. 221), with a = 5.4604 Å, b = 5.4604 Å, c = 5.4604 Å, α = 90.00°, β = 90.00° and γ = 90.00°. The distinct sites, in fractional coordinates, are Mg at (0.0000, 0.0000, 0.5000) and In at (0.0000, 0.0000, 0.0000).

For the density of states at the Fermi level, the calculation gives 2.8 states/eV/cell. The value obtained for the energy of formation is 0.479 eV/atom.



Record 19
Material: MgIn
Method: DFT, PBE
State: relaxed

It has space group Fm-3m (No. 225), with a = 6.0129 Å, b = 6.0129 Å, c = 6.0129 Å, α = 90.00°, β = 90.00° and γ = 90.00°. The distinct sites, in fractional coordinates, are Mg at (0.0000, 0.0000, 0.0000) and In at (0.0000, 0.0000, 0.5000).

For the density of states at the Fermi level, the calculation gives 6.2 states/eV/cell. The value obtained for the energy of formation is 0.157 eV/atom.



Record 20
Material: MgIn
Method: DFT, PBE
State: relaxed

It has space group P6_3/mmc (No. 194), with a = 5.1490 Å, b = 5.1490 Å, c = 5.7926 Å, α = 90.00°, β = 90.00° and γ = 120.00°. The distinct sites, in fractional coordinates, are Mg at (0.3333, 0.6667, 0.2500) and In at (0.3333, 0.6667, 0.7500).

For the density of states at the Fermi level, the calculation gives 3.0 states/eV/cell. The value obtained for the energy of formation is 0.286 eV/atom.



Record 21
Material: Mg17In12
Method: DFT, PBE
State: relaxed

It has space group I-43m (No. 217), with a = 11.1419 Å, b = 11.1419 Å, c = 11.1419 Å, α = 90.00°, β = 90.00° and γ = 90.00°. The distinct sites, in fractional coordinates, are Mg at (0.0000, 0.0000, 0.0000), Mg at (0.0473, 0.3588, 0.3588), Mg at (0.1677, 0.1677, 0.8323) and In at (0.0946, 0.0946, 0.2897).

For the density of states at the Fermi level, the calculation gives 17.3 states/eV/cell. The value obtained for the energy of formation is -0.055 eV/atom.



Record 22
Material: Mg3In
Method: DFT, PBE
State: relaxed

It has space group I4/mmm (No. 139), with a = 4.4868 Å, b = 4.4868 Å, c = 9.1019 Å, α = 90.00°, β = 90.00° and γ = 90.00°. The distinct sites, in fractional coordinates, are Mg at (0.0000, 0.0000, 0.0000), Mg at (0.0000, 0.5000, 0.2500) and In at (0.0000, 0.0000, 0.5000).

For the density of states at the Fermi level, the calculation gives 3.4 states/eV/cell. The value obtained for the energy of formation is -0.073 eV/atom.



Record 23
Material: MgIn5
Method: DFT, PBE
State: relaxed

It has space group P-62m (No. 189), with a = 5.6305 Å, b = 5.6305 Å, c = 5.7221 Å, α = 90.00°, β = 90.00° and γ = 120.00°. The distinct sites, in fractional coordinates, are Mg at (0.0000, 0.0000, 0.0000), In at (0.0000, 0.6689, 0.5000) and In at (0.3333, 0.6667, 0.0000).

For the density of states at the Fermi level, the calculation gives 1.8 states/eV/cell. The value obtained for the energy of formation is -0.004 eV/atom.



Record 24
Material: Mg3In
Method: DFT, PBE
State: relaxed

It has space group C2/m (No. 12), with a = 10.6752 Å, b = 3.1783 Å, c = 5.5722 Å, α = 90.00°, β = 100.94° and γ = 90.00°. The distinct sites, in fractional coordinates, are Mg at (0.0000, 0.0000, 0.0000), Mg at (0.2483, 0.0000, 0.7514) and In at (0.0000, 0.5000, 0.5000).

For the density of states at the Fermi level, the calculation gives 3.2 states/eV/cell. The value obtained for the energy of formation is -0.063 eV/atom.